[1]
Compound: Ho4GaTe2
Source: Alexandria
Functional: GGA-PBE
Structure: relaxed

For the theoretical density, the calculation gives 8.057 g/cm³. For the excess energy over the best structure of this formula in the dataset, the calculation gives 9 meV/atom. The value obtained for the formation energy (no corrections) is -809 meV/atom. As for the total magnetization: 0.0 μB/f.u.

The space group is C2/m (No. 12) and the conventional cell measures 15.0563, 4.2509 and 7.1144 Å, with angles of 90.00, 116.95 and 90.00 degrees. Symmetry generates all atoms from Ho at (0.1057, 0.0000, 0.2953), Ho at (0.1080, 0.5000, 0.7534), Ga at (0.0000, 0.5000, 0.0000) and Te at (0.2425, 0.5000, 0.2359).

[2]
Compound: Ho3GaTe
Source: Alexandria
Functional: GGA-PBE
Structure: relaxed

For the theoretical density, the calculation gives 8.203 g/cm³. The value obtained for the formation energy (no corrections) is -707 meV/atom. As for the total magnetization: 0.0 μB/f.u.

The space group is P2_1/c (No. 14) and the conventional cell measures 10.2844, 6.8405 and 8.8161 Å, with angles of 90.00, 115.37 and 90.00 degrees. Symmetry generates all atoms from Ho at (0.0566, 0.2486, 0.4033), Ho at (0.2909, 0.5161, 0.2709), Ho at (0.2905, 0.5162, 0.7696), Ga at (0.1505, 0.7490, 0.9502) and Te at (0.4194, 0.2494, 0.5846).

[3]
Compound: Ho6GaTe2
Source: Alexandria
Functional: GGA-PBE
Structure: relaxed

For the theoretical density, the calculation gives 7.194 g/cm³. The value obtained for the formation energy (no corrections) is -372 meV/atom. As for the total magnetization: 0.0 μB/f.u.

The space group is P4_2/mnm (No. 136) and the conventional cell measures 6.9024, 6.9024 and 12.7377 Å, with angles of 90.00, 90.00 and 90.00 degrees. Symmetry generates all atoms from Ho at (0.1980, 0.1980, 0.1604), Ho at (0.2196, 0.2196, 0.5000), Ga at (0.0000, 0.0000, 0.0000) and Te at (0.0000, 0.0000, 0.3375).

[4]
Compound: Ho4TlGaTe2
Source: Alexandria
Functional: GGA-PBE
Structure: relaxed

For the theoretical density, the calculation gives 8.725 g/cm³. The value obtained for the formation energy (no corrections) is -840 meV/atom. As for the total magnetization: 0.0 μB/f.u.

The space group is P2/m (No. 10) and the conventional cell measures 7.1704, 4.1374 and 7.9931 Å, with angles of 90.00, 107.39 and 90.00 degrees. Symmetry generates all atoms from Ho at (0.2385, 0.0000, 0.2393), Ho at (0.2430, 0.5000, 0.7539), Tl at (0.5000, 0.0000, 0.0000), Ga at (0.0000, 0.5000, 0.0000), Te at (0.0000, 0.0000, 0.5000) and Te at (0.5000, 0.5000, 0.5000).

[5]
Compound: HoThGa2
Source: Alexandria
Functional: GGA-PBE
Structure: relaxed

For the theoretical density, the calculation gives 9.388 g/cm³. For the excess energy over the best structure of this formula in the dataset, the calculation gives 72 meV/atom. For the formation energy, the calculation gives -0.496 eV per atom. As for the total magnetization: 0.0 μB/f.u.

The space group is P4/mmm (No. 123) and the conventional cell measures 3.4460, 3.4460 and 7.9898 Å, with angles of 90.00, 90.00 and 90.00 degrees. Symmetry generates all atoms from Ho at (0.0000, 0.0000, 0.0000), Th at (0.0000, 0.0000, 0.5000) and Ga at (0.5000, 0.5000, 0.2378).

[6]
Compound: Ho2ThGa2
Source: Alexandria
Functional: GGA-PBE
Structure: relaxed

For the theoretical density, the calculation gives 8.783 g/cm³. For the formation energy, the calculation gives -0.282 eV per atom. As for the total magnetization: 0.0 μB/f.u.

The space group is P2_1/m (No. 11) and the conventional cell measures 5.4595, 3.8777 and 12.6792 Å, with angles of 90.00, 98.88 and 90.00 degrees. Symmetry generates all atoms from Ho at (0.1618, 0.2500, 0.1093), Ho at (0.2620, 0.7500, 0.5345), Th at (0.2994, 0.2500, 0.7695), Ga at (0.1999, 0.2500, 0.3414) and Ga at (0.3548, 0.7500, 0.9670).